No. 1
5
Lattice="3.796 0.000 0.000 0.000 3.796 0.000 0.000 0.000 3.973" Properties=species:S:1:pos:R:3 comment="MnCo2RuN PBE optimized geometry" sg=P4/mmm e_tot_ev_per_atom=-8.136 pbc="T T T"
Mn 0.000 0.000 0.000
Co 0.000 1.898 1.987
Co 1.898 0.000 1.987
Ru 1.898 1.898 0.000
N 1.898 1.898 1.987



No. 2
5
Lattice="4.689 0.000 0.000 0.000 4.689 0.000 0.000 0.000 3.427" Properties=species:S:1:pos:R:3 comment="MnCoS2N PBE optimized geometry" sg=P4/mmm e_tot_ev_per_atom=-6.024 pbc="T T T"
Mn 0.000 0.000 0.000
Co 2.344 2.344 1.714
S 0.000 2.344 0.000
S 2.344 0.000 0.000
N 0.000 0.000 1.714



No. 3
5
Lattice="4.584 0.000 0.000 0.000 4.584 0.000 0.000 0.000 3.323" Properties=species:S:1:pos:R:3 comment="MnCoS2N PBE optimized geometry" sg=P4/mmm e_tot_ev_per_atom=-5.756 pbc="T T T"
Mn 0.000 0.000 0.000
Co 2.292 2.292 1.662
S 0.000 2.292 1.662
S 2.292 0.000 1.662
N 2.292 2.292 0.000



No. 4
5
Lattice="3.884 0.000 0.000 0.000 3.884 0.000 0.000 0.000 4.048" Properties=species:S:1:pos:R:3 comment="Mn2CoSbN PBE optimized geometry" sg=P4/mmm e_tot_ev_per_atom=-7.613 pbc="T T T"
Mn 0.000 1.942 0.000
Mn 1.942 0.000 0.000
Co 0.000 0.000 2.024
Sb 1.942 1.942 2.024
N 0.000 0.000 0.000



No. 5
5
Lattice="3.894 0.000 0.000 0.000 3.894 0.000 0.000 0.000 3.909" Properties=species:S:1:pos:R:3 comment="MnCo2SnN PBE optimized geometry" sg=P4/mmm e_tot_ev_per_atom=-7.192 pbc="T T T"
Mn 0.000 0.000 0.000
Co 0.000 1.947 1.955
Co 1.947 0.000 1.955
Sn 1.947 1.947 0.000
N 0.000 0.000 1.955



No. 6
5
Lattice="3.564 0.000 0.000 0.000 3.564 0.000 0.000 0.000 6.216" Properties=species:S:1:pos:R:3 comment="MnCoTeN2 PBE optimized geometry" sg=P4/mmm e_tot_ev_per_atom=-5.865 pbc="T T T"
Mn 0.000 0.000 0.000
Co 1.782 1.782 3.108
Te 1.782 1.782 0.000
N 0.000 1.782 3.108
N 1.782 0.000 3.108



No. 7
5
Lattice="5.313 0.000 0.000 0.000 5.313 0.000 0.000 0.000 3.398" Properties=species:S:1:pos:R:3 comment="MnCoTe2N PBE optimized geometry" sg=P4/mmm e_tot_ev_per_atom=-5.808 pbc="T T T"
Mn 0.000 0.000 0.000
Co 2.656 2.656 1.699
Te 0.000 2.656 1.699
Te 2.656 0.000 1.699
N 2.656 2.656 0.000



No. 8
5
Lattice="3.603 0.000 0.000 0.000 3.603 0.000 0.000 0.000 5.620" Properties=species:S:1:pos:R:3 comment="MnCoTeN2 PBE optimized geometry" sg=P4/mmm e_tot_ev_per_atom=-6.442 pbc="T T T"
Mn 0.000 0.000 0.000
Co 1.801 1.801 2.810
Te 0.000 0.000 2.810
N 0.000 1.801 0.000
N 1.801 0.000 0.000



No. 9
5
Lattice="5.216 0.000 0.000 0.000 5.216 0.000 0.000 0.000 3.411" Properties=species:S:1:pos:R:3 comment="MnCoTe2N PBE optimized geometry" sg=P4/mmm e_tot_ev_per_atom=-5.681 pbc="T T T"
Mn 0.000 0.000 0.000
Co 2.608 2.608 1.706
Te 0.000 2.608 0.000
Te 2.608 0.000 0.000
N 0.000 0.000 1.706



No. 10
5
Lattice="4.618 0.000 0.000 0.000 4.618 0.000 0.000 0.000 3.337" Properties=species:S:1:pos:R:3 comment="Ti2MnCoN PBE optimized geometry" sg=P4/mmm e_tot_ev_per_atom=-7.447 pbc="T T T"
Ti 0.000 2.309 0.000
Ti 2.309 0.000 0.000
Mn 0.000 0.000 1.668
Co 2.309 2.309 0.000
N 2.309 2.309 1.668



No. 11
5
Lattice="3.780 0.000 0.000 0.000 3.780 0.000 0.000 0.000 3.807" Properties=species:S:1:pos:R:3 comment="Mn2ZnCoN PBE optimized geometry" sg=P4/mmm e_tot_ev_per_atom=-7.196 pbc="T T T"
Mn 0.000 1.890 0.000
Mn 1.890 0.000 0.000
Zn 0.000 0.000 1.903
Co 1.890 1.890 1.903
N 1.890 1.890 0.000



No. 12
5
Lattice="4.182 0.000 0.000 0.000 4.182 0.000 0.000 0.000 4.182" Properties=species:S:1:pos:R:3 comment="NaMn3Co PBE optimized geometry" sg=Pm-3m formation_energy_ev_per_atom=2.781 pbc="T T T"
Na 0.000 0.000 0.000
Mn 0.000 0.000 2.091
Mn 0.000 2.091 0.000
Mn 2.091 0.000 0.000
Co 2.091 2.091 2.091



Repeat the third record exactly.
5
Lattice="4.584 0.000 0.000 0.000 4.584 0.000 0.000 0.000 3.323" Properties=species:S:1:pos:R:3 comment="MnCoS2N PBE optimized geometry" sg=P4/mmm e_tot_ev_per_atom=-5.756 pbc="T T T"
Mn 0.000 0.000 0.000
Co 2.292 2.292 1.662
S 0.000 2.292 1.662
S 2.292 0.000 1.662
N 2.292 2.292 0.000